Record 1
# YOs2Rh, optimized geometry, DFT GGA-PBE
# ρ   14.035 g cm⁻³
# Total DFT energy (no corrections)   -8.939 eV per atom
# DFT formation energy   129 meV per atom
# Polymorph energy (0 for the lowest one)   0.083 eV/atom
data_YOs2Rh
_chemical_formula_sum 'Y1 Os2 Rh1'
_cell_length_a 5.834
_cell_length_b 5.834
_cell_length_c 5.834
_cell_angle_alpha 151.53
_cell_angle_beta 133.99
_cell_angle_gamma 55.00
_space_group_name_H-M_alt 'P 1'
_space_group_IT_number 1
_space_group_name_Hall 'P 1'
loop_
_atom_site_label
_atom_site_fract_x
_atom_site_fract_y
_atom_site_fract_z
Rh1 0.750 0.250 0.500
Os1 0.528 0.528 0.000
Os2 0.972 0.972 0.000
Y1 0.250 0.750 0.500

***

Record 2
# YOsRh, optimized geometry, DFT GGA-PBE
# ρ   10.771 g cm⁻³
# Total DFT energy (no corrections)   -8.443 eV per atom
# DFT formation energy   -95 meV per atom
# Polymorph energy (0 for the lowest one)   0.403 eV/atom
data_YOsRh
_chemical_formula_sum 'Y4 Os4 Rh4'
_cell_length_a 5.041
_cell_length_b 5.496
_cell_length_c 8.885
_cell_angle_alpha 90.00
_cell_angle_beta 106.86
_cell_angle_gamma 90.00
_space_group_name_H-M_alt 'P 1'
_space_group_IT_number 1
_space_group_name_Hall 'P 1'
loop_
_atom_site_label
_atom_site_fract_x
_atom_site_fract_y
_atom_site_fract_z
Rh1 0.197 0.253 0.317
Rh2 0.197 0.247 0.817
Rh3 0.197 0.747 0.317
Rh4 0.197 0.753 0.817
Y1 0.588 0.000 0.149
Y2 0.895 0.500 0.031
Y3 0.895 0.000 0.531
Y4 0.588 0.500 0.649
Os1 0.646 0.000 0.811
Os2 0.040 0.500 0.545
Os3 0.040 0.000 0.045
Os4 0.646 0.500 0.311

***

Record 3
# YOsRh, optimized geometry, DFT GGA-PBE
# ρ   10.954 g cm⁻³
# Total DFT energy (no corrections)   -8.676 eV per atom
# DFT formation energy   -327 meV per atom
# Polymorph energy (0 for the lowest one)   0.171 eV/atom
data_YOsRh
_chemical_formula_sum 'Y4 Os4 Rh4'
_cell_length_a 4.372
_cell_length_b 7.603
_cell_length_c 6.969
_cell_angle_alpha 90.00
_cell_angle_beta 90.00
_cell_angle_gamma 90.00
_space_group_name_H-M_alt 'P 1'
_space_group_IT_number 1
_space_group_name_Hall 'P 1'
loop_
_atom_site_label
_atom_site_fract_x
_atom_site_fract_y
_atom_site_fract_z
Y1 0.750 0.190 0.550
Y2 0.250 0.690 0.050
Y3 0.750 0.310 0.050
Y4 0.250 0.810 0.550
Os1 0.250 0.426 0.375
Os2 0.750 0.574 0.375
Os3 0.750 0.926 0.875
Os4 0.250 0.074 0.875
Rh1 0.750 0.603 0.746
Rh2 0.250 0.397 0.746
Rh3 0.250 0.103 0.246
Rh4 0.750 0.897 0.246

***

Record 4
# YOsRh, optimized geometry, DFT GGA-PBE
# ρ   10.975 g cm⁻³
# Total DFT energy (no corrections)   -8.610 eV per atom
# DFT formation energy   -261 meV per atom
# Polymorph energy (0 for the lowest one)   0.237 eV/atom
data_YOsRh
_chemical_formula_sum 'Y4 Os4 Rh4'
_cell_length_a 7.091
_cell_length_b 4.382
_cell_length_c 10.102
_cell_angle_alpha 90.00
_cell_angle_beta 132.56
_cell_angle_gamma 90.00
_space_group_name_H-M_alt 'P 1'
_space_group_IT_number 1
_space_group_name_Hall 'P 1'
loop_
_atom_site_label
_atom_site_fract_x
_atom_site_fract_y
_atom_site_fract_z
Os1 0.926 0.000 0.854
Os2 0.074 0.000 0.146
Os3 0.074 0.500 0.646
Os4 0.926 0.500 0.354
Y1 0.312 0.500 0.058
Y2 0.688 0.000 0.442
Y3 0.312 0.000 0.558
Y4 0.688 0.500 0.942
Rh1 0.280 0.000 0.831
Rh2 0.720 0.500 0.669
Rh3 0.720 0.000 0.169
Rh4 0.280 0.500 0.331

***

Record 5
# YOsRh2, optimized geometry, DFT GGA-PBE
# ρ   11.864 g cm⁻³
# Total DFT energy (no corrections)   -7.967 eV per atom
# DFT formation energy   132 meV per atom
# Polymorph energy (0 for the lowest one)   0.265 eV/atom
data_YOsRh2
_chemical_formula_sum 'Y1 Os1 Rh2'
_cell_length_a 4.579
_cell_length_b 4.579
_cell_length_c 4.579
_cell_angle_alpha 60.00
_cell_angle_beta 60.00
_cell_angle_gamma 60.00
_space_group_name_H-M_alt 'P 1'
_space_group_IT_number 1
_space_group_name_Hall 'P 1'
loop_
_atom_site_label
_atom_site_fract_x
_atom_site_fract_y
_atom_site_fract_z
Rh1 0.000 0.000 0.000
Rh2 0.250 0.250 0.250
Os1 0.500 0.500 0.500
Y1 0.750 0.750 0.750

***

Record 6
# YOsRh2, optimized geometry, DFT GGA-PBE
# ρ   10.585 g cm⁻³
# Total DFT energy (no corrections)   -7.822 eV per atom
# DFT formation energy   277 meV per atom
# Polymorph energy (0 for the lowest one)   0.410 eV/atom
data_YOsRh2
_chemical_formula_sum 'Y2 Os2 Rh4'
_cell_length_a 4.120
_cell_length_b 4.120
_cell_length_c 9.424
_cell_angle_alpha 77.37
_cell_angle_beta 77.37
_cell_angle_gamma 90.00
_space_group_name_H-M_alt 'P 1'
_space_group_IT_number 1
_space_group_name_Hall 'P 1'
loop_
_atom_site_label
_atom_site_fract_x
_atom_site_fract_y
_atom_site_fract_z
Y1 0.500 0.500 0.000
Y2 0.250 0.750 0.500
Rh1 0.375 0.325 0.750
Rh2 0.675 0.125 0.250
Rh3 0.075 0.625 0.250
Rh4 0.875 0.925 0.750
Os1 0.000 0.000 0.000
Os2 0.750 0.250 0.500

***

Record 7
# YOsRh4, optimized geometry, DFT GGA-PBE
# ρ   11.605 g cm⁻³
# Total DFT energy (no corrections)   -7.801 eV per atom
# DFT formation energy   49 meV per atom
data_YOsRh4
_chemical_formula_sum 'Y1 Os1 Rh4'
_cell_length_a 5.190
_cell_length_b 5.190
_cell_length_c 5.190
_cell_angle_alpha 60.00
_cell_angle_beta 60.00
_cell_angle_gamma 60.00
_space_group_name_H-M_alt 'P 1'
_space_group_IT_number 1
_space_group_name_Hall 'P 1'
loop_
_atom_site_label
_atom_site_fract_x
_atom_site_fract_y
_atom_site_fract_z
Os1 0.000 0.000 0.000
Rh1 0.374 0.877 0.374
Rh2 0.374 0.374 0.877
Rh3 0.374 0.374 0.374
Rh4 0.877 0.374 0.374
Y1 0.750 0.750 0.750

***

Record 8
# YOsRh2, optimized geometry, DFT GGA-PBE
# ρ   12.077 g cm⁻³
# Total DFT energy (no corrections)   -8.232 eV per atom
# DFT formation energy   -133 meV per atom
# Polymorph energy (0 for the lowest one)   0.000 eV/atom
data_YOsRh2
_chemical_formula_sum 'Y1 Os1 Rh2'
_cell_length_a 3.943
_cell_length_b 4.112
_cell_length_c 4.112
_cell_angle_alpha 90.00
_cell_angle_beta 90.00
_cell_angle_gamma 90.00
_space_group_name_H-M_alt 'P 1'
_space_group_IT_number 1
_space_group_name_Hall 'P 1'
loop_
_atom_site_label
_atom_site_fract_x
_atom_site_fract_y
_atom_site_fract_z
Rh1 0.000 0.500 0.500
Rh2 0.000 0.000 0.000
Os1 0.500 0.000 0.500
Y1 0.500 0.500 0.000

***

Record 9
# YOs2Rh, optimized geometry, DFT GGA-PBE
# ρ   13.810 g cm⁻³
# Total DFT energy (no corrections)   -9.016 eV per atom
# DFT formation energy   53 meV per atom
# Polymorph energy (0 for the lowest one)   0.007 eV/atom
data_YOs2Rh
_chemical_formula_sum 'Y1 Os2 Rh1'
_cell_length_a 2.892
_cell_length_b 3.838
_cell_length_c 6.201
_cell_angle_alpha 90.00
_cell_angle_beta 90.00
_cell_angle_gamma 90.00
_space_group_name_H-M_alt 'P 1'
_space_group_IT_number 1
_space_group_name_Hall 'P 1'
loop_
_atom_site_label
_atom_site_fract_x
_atom_site_fract_y
_atom_site_fract_z
Rh1 0.000 0.000 0.480
Y1 0.500 0.500 0.738
Os1 0.000 0.000 0.056
Os2 0.500 0.500 0.226

***

Record 10
# YOsRh, optimized geometry, DFT GGA-PBE
# ρ   11.254 g cm⁻³
# Total DFT energy (no corrections)   -8.394 eV per atom
# DFT formation energy   -46 meV per atom
# Polymorph energy (0 for the lowest one)   0.452 eV/atom
data_YOsRh
_chemical_formula_sum 'Y1 Os1 Rh1'
_cell_length_a 4.472
_cell_length_b 4.472
_cell_length_c 3.255
_cell_angle_alpha 90.00
_cell_angle_beta 90.00
_cell_angle_gamma 120.00
_space_group_name_H-M_alt 'P 1'
_space_group_IT_number 1
_space_group_name_Hall 'P 1'
loop_
_atom_site_label
_atom_site_fract_x
_atom_site_fract_y
_atom_site_fract_z
Y1 0.333 0.667 0.667
Os1 0.000 0.000 0.167
Rh1 0.667 0.333 0.167

***

Record 11
# YOsRh2, optimized geometry, DFT GGA-PBE
# ρ   11.840 g cm⁻³
# Total DFT energy (no corrections)   -8.107 eV per atom
# DFT formation energy   -8 meV per atom
# Polymorph energy (0 for the lowest one)   0.126 eV/atom
data_YOsRh2
_chemical_formula_sum 'Y1 Os1 Rh2'
_cell_length_a 5.734
_cell_length_b 5.734
_cell_length_c 5.734
_cell_angle_alpha 150.56
_cell_angle_beta 132.36
_cell_angle_gamma 57.00
_space_group_name_H-M_alt 'P 1'
_space_group_IT_number 1
_space_group_name_Hall 'P 1'
loop_
_atom_site_label
_atom_site_fract_x
_atom_site_fract_y
_atom_site_fract_z
Rh1 0.771 0.271 0.500
Rh2 0.008 0.008 0.000
Os1 0.224 0.724 0.500
Y1 0.497 0.497 0.000

***

Record 12
# YOsRh2, optimized geometry, DFT GGA-PBE
# ρ   12.005 g cm⁻³
# Total DFT energy (no corrections)   -8.175 eV per atom
# DFT formation energy   -76 meV per atom
# Polymorph energy (0 for the lowest one)   0.057 eV/atom
data_YOsRh2
_chemical_formula_sum 'Y1 Os1 Rh2'
_cell_length_a 4.911
_cell_length_b 4.911
_cell_length_c 4.911
_cell_angle_alpha 130.42
_cell_angle_beta 130.42
_cell_angle_gamma 72.73
_space_group_name_H-M_alt 'P 1'
_space_group_IT_number 1
_space_group_name_Hall 'P 1'
loop_
_atom_site_label
_atom_site_fract_x
_atom_site_fract_y
_atom_site_fract_z
Y1 0.250 0.750 0.500
Os1 0.750 0.250 0.500
Rh1 0.000 0.000 0.000
Rh2 0.500 0.500 0.000

***

Record 13
# Y2OsRh, optimized geometry, DFT GGA-PBE
# ρ   8.716 g cm⁻³
# Total DFT energy (no corrections)   -7.792 eV per atom
# DFT formation energy   85 meV per atom
data_Y2OsRh
_chemical_formula_sum 'Y2 Os1 Rh1'
_cell_length_a 3.263
_cell_length_b 3.263
_cell_length_c 8.428
_cell_angle_alpha 90.00
_cell_angle_beta 90.00
_cell_angle_gamma 90.00
_space_group_name_H-M_alt 'P 1'
_space_group_IT_number 1
_space_group_name_Hall 'P 1'
loop_
_atom_site_label
_atom_site_fract_x
_atom_site_fract_y
_atom_site_fract_z
Y1 0.500 0.500 0.317
Y2 0.000 0.000 0.935
Rh1 0.500 0.500 0.700
Os1 0.000 0.000 0.547

***

Record 14
# YOs2Rh, optimized geometry, DFT GGA-PBE
# ρ   12.093 g cm⁻³
# Total DFT energy (no corrections)   -8.666 eV per atom
# DFT formation energy   403 meV per atom
# Polymorph energy (0 for the lowest one)   0.357 eV/atom
data_YOs2Rh
_chemical_formula_sum 'Y2 Os4 Rh2'
_cell_length_a 3.982
_cell_length_b 3.982
_cell_length_c 10.304
_cell_angle_alpha 78.86
_cell_angle_beta 78.86
_cell_angle_gamma 90.00
_space_group_name_H-M_alt 'P 1'
_space_group_IT_number 1
_space_group_name_Hall 'P 1'
loop_
_atom_site_label
_atom_site_fract_x
_atom_site_fract_y
_atom_site_fract_z
Os1 0.875 0.966 0.750
Os2 0.716 0.125 0.250
Os3 0.375 0.284 0.750
Os4 0.034 0.625 0.250
Rh1 0.750 0.250 0.500
Rh2 0.000 0.000 0.000
Y1 0.250 0.750 0.500
Y2 0.500 0.500 0.000